[1]
Density functional theory data (PBE) for a geometry-optimized YMoRu2 structure.

abc: 9.718 9.718 9.718
angles: 17.03 17.03 17.03
Atoms (fractional coordinates):
1 Y 0.000 0.000 0.000
2 Mo 0.763 0.763 0.763
3 Ru 0.244 0.244 0.244
4 Ru 0.504 0.504 0.504

space-group type: R3m
calculated total energy: -33.80 eV for the cell shown

[2]
Density functional theory data (PBE) for a geometry-optimized YMo2Ru structure.

abc: 6.025 6.025 6.025
angles: 101.73 101.73 126.39
Atoms (fractional coordinates):
1 Y 0.000 0.000 0.000
2 Y 0.750 0.250 0.500
3 Mo 0.175 0.625 0.050
4 Mo 0.375 0.425 0.550
5 Mo 0.575 0.125 0.950
6 Mo 0.875 0.825 0.450
7 Ru 0.250 0.750 0.500
8 Ru 0.500 0.500 0.000

space-group type: I-42d
calculated total energy: -70.13 eV for the cell shown

[3]
Density functional theory data (PBE) for a geometry-optimized Y2MoRu structure.

abc: 3.401 3.401 7.257
angles: 90.00 90.00 90.00
Atoms (fractional coordinates):
1 Y 0.000 0.000 0.233
2 Y 0.000 0.000 0.767
3 Mo 0.500 0.500 0.500
4 Ru 0.500 0.500 0.000

space-group type: P4/mmm
calculated total energy: -32.30 eV for the cell shown

[4]
Density functional theory data (PBE) for a geometry-optimized Y4MoRu structure.

abc: 5.931 5.931 5.931
angles: 60.00 60.00 60.00
Atoms (fractional coordinates):
1 Y 0.125 0.125 0.125
2 Y 0.125 0.125 0.625
3 Y 0.125 0.625 0.125
4 Y 0.625 0.125 0.125
5 Mo 0.750 0.750 0.750
6 Ru 0.500 0.500 0.500

space-group type: F-43m
calculated total energy: -39.32 eV for the cell shown